# Mn3GaCo4

An optimized crystal structure of Mn3GaCo4 (PBE, Alexandria).

abc: 4.023 4.023 11.486
angles: 90.00 90.00 90.00
Space group I4/mmm (No. 139)
Asymmetric unit:
Mn 0.000 0.000 0.000 [2 per cell]
Mn 0.000 0.000 0.251 [4 per cell]
Ga 0.000 0.000 0.500 [2 per cell]
Co 0.000 0.500 0.129 [8 per cell]

**Total energy**: -59.835 eV per formula unit
**ΔH_f (0 K)**: -0.110 eV per atom

# NbVSn2Hg

An optimized crystal structure of NbVSn2Hg (PBE, Alexandria).

abc: 5.401 5.401 5.305
angles: 90.00 90.00 90.00
Space group P4/mmm (No. 123)
Asymmetric unit:
Nb 0.000 0.000 0.000 [1 per cell]
V 0.500 0.500 0.000 [1 per cell]
Sn 0.000 0.500 0.500 [2 per cell]
Hg 0.000 0.000 0.500 [1 per cell]

**Total energy**: -19.480 eV per formula unit
**ΔH_f (0 K)**: 1.603 eV per atom

# Rb2SrH2

An optimized crystal structure of Rb2SrH2 (PBE, Alexandria).

abc: 5.258 5.258 14.135
angles: 90.00 90.00 90.00
Space group I4/mmm (No. 139)
Asymmetric unit:
Rb 0.000 0.000 0.181 [4 per cell]
Sr 0.000 0.000 0.500 [2 per cell]
H 0.000 0.500 0.250 [4 per cell]

**Relative energy among the computed polymorphs**: 68 meV/atom
**Total energy**: -9.569 eV per formula unit

# Li4Mg2Cd5

An optimized crystal structure of Li4Mg2Cd5 (PBE, Alexandria).

abc: 10.322 4.864 8.560
angles: 90.00 91.45 90.00
Space group C2/m (No. 12)
Asymmetric unit:
Li 0.044 0.000 0.327 [4 per cell]
Li 0.190 0.500 0.771 [4 per cell]
Mg 0.089 0.500 0.142 [4 per cell]
Cd 0.000 0.500 0.500 [2 per cell]
Cd 0.134 0.000 0.944 [4 per cell]
Cd 0.220 0.000 0.592 [4 per cell]

**Total energy**: -17.469 eV per formula unit
**ΔH_f (0 K)**: -0.186 eV per atom

# Ag2GeAu2

An optimized crystal structure of Ag2GeAu2 (PBE, Alexandria).

abc: 3.834 3.834 13.865
angles: 90.00 90.00 90.00
Space group I4/mmm (No. 139)
Asymmetric unit:
Ag 0.000 0.500 0.250 [4 per cell]
Ge 0.000 0.000 0.000 [2 per cell]
Au 0.000 0.000 0.403 [4 per cell]

**Relative energy among the computed polymorphs**: 166 meV/atom
**Total energy**: -15.897 eV per formula unit
**ΔH_f (0 K)**: 0.196 eV per atom

# Be2HgW

An optimized crystal structure of Be2HgW (PBE, Alexandria).

abc: 3.508 4.186 7.776
angles: 90.00 90.00 90.00
Space group Cmmm (No. 65)
Asymmetric unit:
Be 0.000 0.000 0.226 [4 per cell]
Hg 0.000 0.500 0.500 [2 per cell]
W 0.000 0.500 0.000 [2 per cell]

**Total energy**: -19.067 eV per formula unit
**ΔH_f (0 K)**: 0.410 eV per atom